Run one
# RbBe3Te | Alexandria via LeMat-Bulk | PBE | relaxed
data_RbBe3Te
_space_group_name_H-M_alt 'P 1'
_space_group_IT_number 1
_cell_length_a 5.594
_cell_length_b 5.594
_cell_length_c 5.594
_cell_angle_alpha 90.00
_cell_angle_beta 90.00
_cell_angle_gamma 90.00
loop_
_space_group_symop_operation_xyz
'x,y,z'
loop_
_atom_site_label
_atom_site_fract_x
_atom_site_fract_y
_atom_site_fract_z
Rb1 0.000 0.000 0.000
Be1 0.000 0.000 0.500
Be2 0.000 0.500 0.000
Be3 0.500 0.000 0.000
Te1 0.500 0.500 0.500
# spin magnetization	0.0	μB/cell
# DOS(E_F)	4.842	states/eV/f.u.

=====

Run two
# RbBe3Te | Alexandria via LeMat-Bulk | PBE | relaxed
data_RbBe3Te
_space_group_name_H-M_alt 'P 1'
_space_group_IT_number 1
_cell_length_a 5.131
_cell_length_b 5.131
_cell_length_c 5.131
_cell_angle_alpha 90.00
_cell_angle_beta 90.00
_cell_angle_gamma 90.00
loop_
_space_group_symop_operation_xyz
'x,y,z'
loop_
_atom_site_label
_atom_site_fract_x
_atom_site_fract_y
_atom_site_fract_z
Rb1 0.000 0.000 0.000
Be1 0.000 0.500 0.500
Be2 0.500 0.000 0.500
Be3 0.500 0.500 0.000
Te1 0.500 0.500 0.500
# spin magnetization	0.0	μB/cell
# DOS(E_F)	3.813	states/eV/f.u.

=====

Verdict on stability: run two comes out on top.